The following is a DFT calculation (PBE-GGA) of a relaxed Ho2OsAuC crystal.

Lattice parameters (Å, degrees): 3.8786 4.9639 4.9639 90.00 90.00 90.00
Fractional positions:
Ho  0.0000  0.0000  0.5000
Ho  0.0000  0.5000  0.0000
Os  0.5000  0.0000  0.0000
Au  0.5000  0.5000  0.5000
C  0.0000  0.0000  0.0000

Properties
D(E_F) ... 1.8 states/eV per cell
Formation enthalpy at 0 K ... -0.554 eV per atom
Uncorrected energy ... -7.13 eV per atom